# TeMoAs2Br

A relaxed TeMoAs2Br crystal (GGA-PBE, the Alexandria database).

Values from the calculation:
Its space-group type is No. 123. The calculation puts the final energy at -4.576 eV/atom. As for the polymorph energy (0 for the lowest one): 0.0 meV per atom. Its theoretical density is 6.1 g cm⁻³. The density of states at the Fermi level is 5.71 states/eV/cell. For the total magnetization, the calculation gives 0.00 μB per formula unit. The calculation puts the formation energy (no corrections) at 413 meV/atom.

The structure in extended XYZ format:
```
5
Lattice="-4.481 2.239 0.353 0.200 -0.387 5.003 2.196 4.354 0.249" Properties=species:S:1:pos:R:3 pbc="T T T"
As -2.241 1.120 0.176
As 0.100 -0.194 2.502
Mo 0.000 0.000 0.000
Br 1.098 2.177 0.125
Te -1.043 3.103 2.803
```